A relaxed Ba2Bi2Ru crystal, computed with PBE.

Lattice parameters (Å, degrees): 7.5435 7.5435 5.6362 90.00 90.00 90.00
With the nearest neighbours (Å) after each atom.
Space group P4/mbm (No. 127)
Unique sites:
Ba 0.1688 0.3312 0.0000 x4  6 Bi 3.41-3.71, 1 Ba 3.60
Bi 0.1506 0.6506 0.5000 x4  2 Ru 2.87, 1 Bi 3.21
Ru 0.0000 0.0000 0.5000 x2  4 Bi 2.87

## Properties
raw total energy = -4.40 eV per atom
total magnetization = 0.0 μB per formula unit
DFT formation energy = -106 kJ/mol of formula units
theoretical density = 8.22 g/cm3